1.
First-principles (PBE-GGA) data for Lu after structural relaxation, as listed in the Open Quantum Materials Database.

abc: 6.117 5.834 3.286
angles: 78.84 69.35 31.81
Positions (direct):
Lu: 0.140 0.140 0.860
Lu: 0.860 0.860 0.140

Calculated values
Symmetry: No. 69
Energy above the most stable polymorph in this dataset in meV/atom: 313

2.
First-principles (PBE-GGA) data for Lu after structural relaxation, as listed in the Open Quantum Materials Database.

abc: 10.413 10.413 10.413
angles: 109.47 109.47 109.47
Positions (direct):
Lu: 0.000 0.000 0.000
Lu: 0.000 0.000 0.346
Lu: 0.000 0.312 0.576
Lu: 0.000 0.346 0.000
Lu: 0.000 0.576 0.312
Lu: 0.000 0.625 0.811
Lu: 0.000 0.811 0.625
Lu: 0.186 0.375 0.375
Lu: 0.189 0.189 0.814
Lu: 0.189 0.814 0.189
Lu: 0.265 0.688 0.688
Lu: 0.312 0.000 0.576
Lu: 0.312 0.576 0.000
Lu: 0.346 0.000 0.000
Lu: 0.375 0.186 0.375
Lu: 0.375 0.375 0.186
Lu: 0.424 0.424 0.735
Lu: 0.424 0.735 0.424
Lu: 0.576 0.000 0.312
Lu: 0.576 0.312 0.000
Lu: 0.625 0.000 0.811
Lu: 0.625 0.811 0.000
Lu: 0.654 0.654 0.654
Lu: 0.688 0.265 0.688
Lu: 0.688 0.688 0.265
Lu: 0.735 0.424 0.424
Lu: 0.811 0.000 0.625
Lu: 0.811 0.625 0.000
Lu: 0.814 0.189 0.189

Calculated values
Symmetry: No. 217
Energy above the most stable polymorph in this dataset in meV/atom: 196

3.
First-principles (PBE-GGA) data for Lu after structural relaxation, as listed in the Open Quantum Materials Database.

abc: 4.608 4.608 6.623
angles: 90.00 90.00 120.00
Positions (direct):
Lu: 0.000 0.000 0.250
Lu: 0.000 0.000 0.750
Lu: 0.333 0.667 0.250
Lu: 0.667 0.333 0.750

Calculated values
Symmetry: No. 194
Energy above the most stable polymorph in this dataset in meV/atom: 1968

4.
First-principles (PBE-GGA) data for Lu after structural relaxation, as listed in the Open Quantum Materials Database.

abc: 5.163 5.163 5.163
angles: 60.00 60.00 60.00
Positions (direct):
Lu: 0.125 0.125 0.125
Lu: 0.875 0.875 0.875

Calculated values
Symmetry: No. 227
Energy above the most stable polymorph in this dataset in meV/atom: 1981

5.
First-principles (PBE-GGA) data for Lu after structural relaxation, as listed in the Open Quantum Materials Database.

abc: 3.412 3.412 3.412
angles: 60.86 60.86 60.86
Positions (direct):
Lu: 0.000 0.000 0.000

Calculated values
Symmetry: No. 166
Energy above the most stable polymorph in this dataset in meV/atom: 45

6.
First-principles (PBE-GGA) data for Lu after structural relaxation, as listed in the Open Quantum Materials Database.

abc: 8.430 8.430 8.430
angles: 90.00 90.00 90.00
Positions (direct):
Lu: 0.044 0.125 0.794
Lu: 0.060 0.940 0.440
Lu: 0.125 0.794 0.044
Lu: 0.190 0.190 0.190
Lu: 0.206 0.544 0.375
Lu: 0.294 0.456 0.875
Lu: 0.310 0.810 0.690
Lu: 0.375 0.206 0.544
Lu: 0.440 0.060 0.940
Lu: 0.456 0.875 0.294
Lu: 0.544 0.375 0.206
Lu: 0.560 0.560 0.560
Lu: 0.625 0.706 0.956
Lu: 0.690 0.310 0.810
Lu: 0.706 0.956 0.625
Lu: 0.794 0.044 0.125
Lu: 0.810 0.690 0.310
Lu: 0.875 0.294 0.456
Lu: 0.940 0.440 0.060
Lu: 0.956 0.625 0.706

Calculated values
Symmetry: No. 213
Energy above the most stable polymorph in this dataset in meV/atom: 190

ΔE_f readings, ordered: 313, 196, 1968, 1981, 45, 190 meV per atom
Total moment readings, ordered: 0.00, 0.05, 0.22, 0.01, 0.00, 0.14 μB/f.u.